# 1
# PBE NpNbH, optimized geometry
data_NpNbH
_cell_length_a 6.2261
_cell_length_b 6.2261
_cell_length_c 6.2261
_cell_angle_alpha 154.64
_cell_angle_beta 154.64
_cell_angle_gamma 36.16
_space_group_name_H-M_alt 'P 1'
_space_group_IT_number 1
_space_group_name_Hall 'P 1'
loop_
_atom_site_label
_atom_site_fract_x
_atom_site_fract_y
_atom_site_fract_z
_atom_site_occupancy
Np1 0.0000 0.0000 0.0000 1
Nb1 0.2787 0.2787 0.0000 1
H1 0.7112 0.7112 0.0000 1
# distance to the lowest polymorph of the same formula = 0 meV per atom
# space-group type = I4mm, No. 107


# 2
# PBE NpNbH, optimized geometry
data_NpNbH
_cell_length_a 2.8745
_cell_length_b 2.8745
_cell_length_c 10.4462
_cell_angle_alpha 90.00
_cell_angle_beta 90.00
_cell_angle_gamma 90.00
_space_group_name_H-M_alt 'P 1'
_space_group_IT_number 1
_space_group_name_Hall 'P 1'
loop_
_atom_site_label
_atom_site_fract_x
_atom_site_fract_y
_atom_site_fract_z
_atom_site_occupancy
Np1 0.2500 0.2500 0.1088 1
Np2 0.7500 0.7500 0.8912 1
Nb1 0.2500 0.2500 0.3806 1
Nb2 0.7500 0.7500 0.6194 1
H1 0.2500 0.2500 0.5880 1
H2 0.7500 0.7500 0.4120 1
# distance to the lowest polymorph of the same formula = 3 meV per atom
# space-group type = P4/nmm, No. 129


# 3
# PBE NbHO, optimized geometry
data_NbHO
_cell_length_a 5.9106
_cell_length_b 5.9106
_cell_length_c 5.9106
_cell_angle_alpha 151.70
_cell_angle_beta 139.63
_cell_angle_gamma 50.03
_space_group_name_H-M_alt 'P 1'
_space_group_IT_number 1
_space_group_name_Hall 'P 1'
loop_
_atom_site_label
_atom_site_fract_x
_atom_site_fract_y
_atom_site_fract_z
_atom_site_occupancy
Nb1 0.1424 0.1424 0.0000 1
Nb2 0.8576 0.8576 0.0000 1
H1 0.2494 0.0000 0.2494 1
H2 0.7506 0.0000 0.7506 1
O1 0.3021 0.8021 0.5000 1
O2 0.6979 0.1979 0.5000 1
# uncorrected energy = -7.196 eV per atom
# space-group type = Immm, No. 71


# 4
# PBE NbHO3, optimized geometry
data_NbHO3
_cell_length_a 6.6917
_cell_length_b 6.8566
_cell_length_c 6.9032
_cell_angle_alpha 111.28
_cell_angle_beta 109.89
_cell_angle_gamma 106.39
_space_group_name_H-M_alt 'P 1'
_space_group_IT_number 1
_space_group_name_Hall 'P 1'
loop_
_atom_site_label
_atom_site_fract_x
_atom_site_fract_y
_atom_site_fract_z
_atom_site_occupancy
Nb1 0.0000 0.0000 0.0000 1
Nb2 0.0123 0.5237 0.4834 1
Nb3 0.5055 0.4693 0.9532 1
Nb4 0.5233 0.9468 0.4888 1
H1 0.2668 0.1698 0.4457 1
H2 0.2852 0.7923 0.9586 1
H3 0.3116 0.2817 0.0358 1
H4 0.7307 0.5339 0.7038 1
O1 0.1494 0.7928 0.8401 1
O2 0.2537 0.4196 0.6915 1
O3 0.2658 0.0430 0.3164 1
O4 0.3141 0.7213 0.5114 1
O5 0.4803 0.7563 0.1866 1
O6 0.5563 0.2242 0.7833 1
O7 0.6853 0.4477 0.5281 1
O8 0.7598 0.7313 0.9426 1
O9 0.7654 0.2669 0.4973 1
O10 0.8248 0.5812 0.2713 1
O11 0.8271 0.9796 0.6990 1
O12 0.9792 0.2434 0.2113 1
# uncorrected energy = -7.470 eV per atom
# space-group type = P1, No. 1


# 5
# PBE NbHO3, optimized geometry
data_NbHO3
_cell_length_a 6.3605
_cell_length_b 6.8834
_cell_length_c 7.2245
_cell_angle_alpha 89.85
_cell_angle_beta 87.26
_cell_angle_gamma 72.08
_space_group_name_H-M_alt 'P 1'
_space_group_IT_number 1
_space_group_name_Hall 'P 1'
loop_
_atom_site_label
_atom_site_fract_x
_atom_site_fract_y
_atom_site_fract_z
_atom_site_occupancy
Nb1 0.0000 0.0000 0.0000 1
Nb2 0.0935 0.4755 0.7963 1
Nb3 0.2519 0.1517 0.3923 1
Nb4 0.5751 0.9569 0.7967 1
H1 0.2586 0.5417 0.4638 1
H2 0.4082 0.2997 0.0023 1
H3 0.6479 0.5636 0.7325 1
H4 0.9135 0.1137 0.6448 1
O1 0.0360 0.2927 0.5713 1
O2 0.0761 0.6796 0.9629 1
O3 0.1166 0.9916 0.2439 1
O4 0.2302 0.5867 0.5946 1
O5 0.3110 0.9175 0.8755 1
O6 0.3241 0.3389 0.2536 1
O7 0.4030 0.2846 0.8650 1
O8 0.5008 0.0206 0.5394 1
O9 0.7006 0.9835 0.0398 1
O10 0.7417 0.6483 0.7587 1
O11 0.8776 0.0089 0.7240 1
O12 0.9770 0.2774 0.9496 1
# uncorrected energy = -7.660 eV per atom
# space-group type = P1, No. 1


# 6
# PBE NbHO3, optimized geometry
data_NbHO3
_cell_length_a 6.7401
_cell_length_b 6.7603
_cell_length_c 6.7886
_cell_angle_alpha 109.62
_cell_angle_beta 110.38
_cell_angle_gamma 108.10
_space_group_name_H-M_alt 'P 1'
_space_group_IT_number 1
_space_group_name_Hall 'P 1'
loop_
_atom_site_label
_atom_site_fract_x
_atom_site_fract_y
_atom_site_fract_z
_atom_site_occupancy
Nb1 0.0000 0.0000 0.0000 1
Nb2 0.0039 0.5138 0.4801 1
Nb3 0.4932 0.5370 0.9988 1
Nb4 0.5095 0.0622 0.5092 1
H1 0.4688 0.7988 0.7284 1
H2 0.4731 0.3075 0.2377 1
H3 0.7524 0.8161 0.4777 1
H4 0.8408 0.3025 0.9740 1
O1 0.0507 0.2702 0.3161 1
O2 0.2218 0.5450 0.8274 1
O3 0.2215 0.9345 0.2179 1
O4 0.3406 0.7913 0.5933 1
O5 0.3418 0.2961 0.1013 1
O6 0.4596 0.2765 0.7282 1
O7 0.6147 0.8130 0.3534 1
O8 0.7074 0.2980 0.4699 1
O9 0.7080 0.7822 0.9626 1
O10 0.8215 0.5305 0.2147 1
O11 0.8256 0.1619 0.8465 1
O12 0.9630 0.8094 0.7064 1
# uncorrected energy = -7.734 eV per atom
# space-group type = P1, No. 1


# 7
# PBE NbHO3, optimized geometry
data_NbHO3
_cell_length_a 4.0123
_cell_length_b 4.1238
_cell_length_c 4.0142
_cell_angle_alpha 90.00
_cell_angle_beta 91.72
_cell_angle_gamma 90.00
_space_group_name_H-M_alt 'P 1'
_space_group_IT_number 1
_space_group_name_Hall 'P 1'
loop_
_atom_site_label
_atom_site_fract_x
_atom_site_fract_y
_atom_site_fract_z
_atom_site_occupancy
Nb1 0.0000 0.0000 0.0000 1
H1 0.7427 0.5000 0.2540 1
O1 0.4548 0.0000 0.0472 1
O2 0.9141 0.5000 0.0853 1
O3 0.9537 0.0000 0.5456 1
# uncorrected energy = -7.675 eV per atom
# space-group type = Pm, No. 6


# 8
# PBE Nb3HO, optimized geometry
data_Nb3HO
_cell_length_a 4.1936
_cell_length_b 4.1936
_cell_length_c 4.1936
_cell_angle_alpha 90.00
_cell_angle_beta 90.00
_cell_angle_gamma 90.00
_space_group_name_H-M_alt 'P 1'
_space_group_IT_number 1
_space_group_name_Hall 'P 1'
loop_
_atom_site_label
_atom_site_fract_x
_atom_site_fract_y
_atom_site_fract_z
_atom_site_occupancy
Nb1 0.0000 0.0000 0.5000 1
Nb2 0.0000 0.5000 0.0000 1
Nb3 0.5000 0.0000 0.0000 1
H1 0.5000 0.5000 0.5000 1
O1 0.0000 0.0000 0.0000 1
# distance to the lowest polymorph of the same formula = 0 meV per atom
# space-group type = Pm-3m, No. 221


# 9
# PBE NbHO3, optimized geometry
data_NbHO3
_cell_length_a 6.2157
_cell_length_b 6.6686
_cell_length_c 6.8594
_cell_angle_alpha 63.06
_cell_angle_beta 68.64
_cell_angle_gamma 81.22
_space_group_name_H-M_alt 'P 1'
_space_group_IT_number 1
_space_group_name_Hall 'P 1'
loop_
_atom_site_label
_atom_site_fract_x
_atom_site_fract_y
_atom_site_fract_z
_atom_site_occupancy
Nb1 0.0000 0.0000 0.0000 1
Nb2 0.0043 0.5776 0.7607 1
Nb3 0.4128 0.6407 0.8877 1
Nb4 0.9410 0.2111 0.4625 1
H1 0.3752 0.3341 0.3219 1
H2 0.4371 0.9743 0.0038 1
H3 0.7357 0.8724 0.2056 1
H4 0.9497 0.6886 0.4932 1
O1 0.0358 0.2813 0.7076 1
O2 0.0401 0.7013 0.9714 1
O3 0.2067 0.8729 0.5173 1
O4 0.2539 0.3912 0.2507 1
O5 0.3145 0.8726 0.0392 1
O6 0.3169 0.4635 0.7849 1
O7 0.3891 0.8999 0.5885 1
O8 0.6837 0.4702 0.9425 1
O9 0.7222 0.3999 0.4064 1
O10 0.7501 0.0242 0.8102 1
O11 0.7519 0.8819 0.6953 1
O12 0.9749 0.1373 0.1903 1
# uncorrected energy = -7.200 eV per atom
# space-group type = P1, No. 1


# 10
# PBE NbTeHOsO, optimized geometry
data_NbTeHOsO
_cell_length_a 3.5835
_cell_length_b 2.9991
_cell_length_c 8.2550
_cell_angle_alpha 90.00
_cell_angle_beta 91.90
_cell_angle_gamma 90.00
_space_group_name_H-M_alt 'P 1'
_space_group_IT_number 1
_space_group_name_Hall 'P 1'
loop_
_atom_site_label
_atom_site_fract_x
_atom_site_fract_y
_atom_site_fract_z
_atom_site_occupancy
Nb1 0.0000 0.0000 0.0000 1
Te1 0.4640 0.0000 0.5395 1
H1 0.9849 0.5000 0.8021 1
Os1 0.4856 0.5000 0.8111 1
O1 0.0119 0.5000 0.1523 1
# distance to the lowest polymorph of the same formula = 0 meV per atom
# space-group type = Pm, No. 6


# 11
# PBE NbTeHOsO, optimized geometry
data_NbTeHOsO
_cell_length_a 7.5596
_cell_length_b 7.5596
_cell_length_c 3.2078
_cell_angle_alpha 96.17
_cell_angle_beta 96.17
_cell_angle_gamma 32.93
_space_group_name_H-M_alt 'P 1'
_space_group_IT_number 1
_space_group_name_Hall 'P 1'
loop_
_atom_site_label
_atom_site_fract_x
_atom_site_fract_y
_atom_site_fract_z
_atom_site_occupancy
Nb1 0.0000 0.0000 0.0000 1
Te1 0.2106 0.2106 0.1077 1
H1 0.6496 0.6496 0.5762 1
Os1 0.6010 0.6010 0.0514 1
O1 0.9255 0.9255 0.4623 1
# distance to the lowest polymorph of the same formula = 108 meV per atom
# space-group type = Cm, No. 8


Q: Which formula does entry 10 have?
A: NbTeHOsO